Entry from Alexandria: V2BiBO8 after structural relaxation (PBE with a Hubbard U).

Properties
Mass density   5.0 g/cm³
V   148.95 Å³/cell
Total energy   -6.9053 eV/atom
SG   P-3m1

a = 5.317 Å, b = 5.317 Å, c = 6.085 Å
α = 90.00°, β = 90.00°, γ = 120.00°
Fractional positions:
1 V 0.333 0.667 0.244
2 V 0.667 0.333 0.756
3 Bi 0.000 0.000 0.500
4 B 0.000 0.000 0.000
5 O 0.148 0.297 0.168
6 O 0.148 0.852 0.168
7 O 0.297 0.148 0.832
8 O 0.333 0.667 0.520
9 O 0.667 0.333 0.480
10 O 0.703 0.852 0.168
11 O 0.852 0.148 0.832
12 O 0.852 0.703 0.832